The following is a DFT calculation (PBE-GGA) of a relaxed structure of Tb2Sm5YSc.

- E (eV/atom) = -4.94
- theoretical density (kg/m³) = 6741
- formation enthalpy at 0 K (meV per atom) = 130.3
- DOS(E_F) (states/eV/f.u.) = 13.4

Cell lengths 5.348, 11.263, 10.134 Å; angles 90.00, 90.00, 103.73 degrees
Sites, in units of the cell vectors:
Sm1 0.279 0.557 0.696
Sm2 0.500 0.000 0.758
Sm3 0.279 0.557 0.320
Sm4 0.500 0.000 0.258
Sc1 0.215 0.430 0.008
Sm5 0.999 0.997 0.008
Sm6 0.374 0.748 0.008
Y1 0.398 0.797 0.508
Sc2 0.785 0.570 0.508
Sm7 0.721 0.443 0.196
Tb1 0.116 0.233 0.758
Sm8 0.626 0.252 0.508
Sm9 0.721 0.443 0.820
Sm10 0.001 0.003 0.508
Y2 0.602 0.203 0.008
Tb2 0.116 0.233 0.259
Tb3 0.884 0.767 0.258
Tb4 0.884 0.767 0.759